Record 1
Density functional theory data (PBEsol) for a geometry-optimized CoMoP2 structure.

Energy of formation from the pure elements in meV/atom: -724.1
Calculated volume in A^3/atom: 12.786

Cell lengths 3.2685, 3.2685, 11.0565 Å; angles 90.00, 90.00, 120.00 degrees
Closest atoms and distances in Å follow each position.
Element x y z (fractional)
Co 0.0000 0.0000 0.0000  6 P 2.23
Co 0.0000 0.0000 0.5000  6 P 2.23
Mo 0.0000 0.0000 0.2500  6 P 2.46
Mo 0.0000 0.0000 0.7500  6 P 2.46
P 0.3333 0.6667 0.1078  3 Co 2.23, 3 Mo 2.46
P 0.3333 0.6667 0.3922  3 Co 2.23, 3 Mo 2.46
P 0.6667 0.3333 0.6078  3 Co 2.23, 3 Mo 2.46
P 0.6667 0.3333 0.8922  3 Co 2.23, 3 Mo 2.46

***

Record 2
Density functional theory data (PBEsol) for a geometry-optimized CoMo2P structure.

Energy of formation from the pure elements in meV/atom: -14.5
Calculated volume in A^3/atom: 12.910

Cell lengths 3.2618, 3.8846, 4.0755 Å; angles 90.00, 90.00, 90.00 degrees
Closest atoms and distances in Å follow each position.
Element x y z (fractional)
Co 0.0000 0.0000 0.0000  8 Mo 2.54-2.82, 4 P 2.61
Mo 0.0000 0.5000 0.5000  4 P 2.54, 4 Mo 2.61, 4 Co 2.82
Mo 0.5000 0.5000 0.0000  4 Co 2.54, 4 Mo 2.61, 4 P 2.82
P 0.5000 0.0000 0.5000  8 Mo 2.54-2.82, 4 Co 2.61

***

Record 3
Density functional theory data (PBEsol) for a geometry-optimized CoMoP2 structure.

Energy of formation from the pure elements in meV/atom: -460.3
Calculated volume in A^3/atom: 12.271

Cell lengths 3.1182, 3.1182, 5.0482 Å; angles 90.00, 90.00, 90.00 degrees
Closest atoms and distances in Å follow each position.
Element x y z (fractional)
Co 0.0000 0.0000 0.0000  5 P 2.22-2.31
Mo 0.5000 0.5000 0.3650  6 P 2.42-2.53
P 0.0000 0.0000 0.5608  1 Co 2.22, 4 Mo 2.42
P 0.5000 0.5000 0.8657  4 Co 2.31, 2 Mo 2.52-2.53

***

Record 4
Density functional theory data (PBEsol) for a geometry-optimized CoMoP2S structure.

Energy relative to the lowest polymorph listed for this composition in eV per atom: 0.000
Calculated volume in A^3/atom: 15.389
Formation energy (no corrections) in eV/atom: 0.69

Cell lengths 4.1802, 4.1802, 4.4035 Å; angles 90.00, 90.00, 90.00 degrees
Closest atoms and distances in Å follow each position.
Element x y z (fractional)
Co 0.0000 0.0000 0.0000  4 P 2.09, 2 S 2.20
Mo 0.5000 0.5000 0.5000  4 S 2.96, 8 P 3.04
P 0.0000 0.5000 0.0000  2 Co 2.09
P 0.5000 0.0000 0.0000  2 Co 2.09
S 0.0000 0.0000 0.5000  2 Co 2.20

***

Record 5
Density functional theory data (PBEsol) for a geometry-optimized CoMoP2S structure.

Energy relative to the lowest polymorph listed for this composition in eV per atom: 0.240
Calculated volume in A^3/atom: 19.507
Formation energy (no corrections) in eV/atom: 0.93

Cell lengths 4.6501, 4.6501, 4.5106 Å; angles 90.00, 90.00, 90.00 degrees
Closest atoms and distances in Å follow each position.
Element x y z (fractional)
Co 0.0000 0.0000 0.0000  8 P 3.24, 4 S 3.29
Mo 0.5000 0.5000 0.5000  2 S 2.26, 4 P 2.33
P 0.0000 0.5000 0.5000  2 Mo 2.33
P 0.5000 0.0000 0.5000  2 Mo 2.33
S 0.5000 0.5000 0.0000  2 Mo 2.26

***

Record 6
Density functional theory data (PBEsol) for a geometry-optimized CoMo4Pb structure.

Energy of formation from the pure elements in meV/atom: 727.3
Calculated volume in A^3/atom: 16.523

Cell lengths 5.1950, 5.1950, 5.1950 Å; angles 60.00, 60.00, 60.00 degrees
Closest atoms and distances in Å follow each position.
Element x y z (fractional)
Co 0.0000 0.0000 0.0000  12 Mo 3.04, 4 Pb 3.18
Mo 0.3743 0.3743 0.3743  6 Mo 2.58-2.61
Mo 0.3743 0.3743 0.8772  6 Mo 2.58-2.61
Mo 0.3743 0.8772 0.3743  6 Mo 2.58-2.61
Mo 0.8772 0.3743 0.3743  6 Mo 2.58-2.61
Pb 0.7500 0.7500 0.7500  12 Mo 3.05, 4 Co 3.18

***

no.,DOS at the Fermi energy (states/eV/f.u.)
1,1.8
2,4.1
3,4.4
4,3.1
5,5.5
6,7.0